No. 1
Density functional theory data (PBE) for PaAlFe2Ge4 after structural relaxation.

a = 3.596 Å, b = 3.596 Å, c = 10.833 Å
α = 90.00°, β = 90.00°, γ = 90.00°
Element x y z (fractional)
1 Pa 0.000 0.000 0.000
2 Al 0.000 0.000 0.500
3 Fe 0.500 0.500 0.392
4 Fe 0.500 0.500 0.608
5 Ge 0.000 0.500 0.228
6 Ge 0.000 0.500 0.772
7 Ge 0.500 0.000 0.228
8 Ge 0.500 0.000 0.772

Results
For the energy of formation, the calculation gives 87.9 meV per atom. The space-group type is P4/mmm.


No. 2
Density functional theory data (PBE) for KTcH3 after structural relaxation.

a = 4.327 Å, b = 4.327 Å, c = 4.327 Å
α = 90.00°, β = 90.00°, γ = 90.00°
Element x y z (fractional)
1 K 0.000 0.000 0.000
2 Tc 0.500 0.500 0.500
3 H 0.000 0.000 0.500
4 H 0.000 0.500 0.000
5 H 0.500 0.000 0.000

Results
For the excess energy over the best structure of this formula in the dataset, the calculation gives 1389 meV per atom. The space-group type is Pm-3m.